Entry from the Alexandria database: crystalline NaCeInAg at its relaxed geometry (PBE).

It has space group F-43m (No. 216), with a = 7.442 Å, b = 7.442 Å, c = 7.442 Å, α = 90.00°, β = 90.00° and γ = 90.00°. The distinct sites, in fractional coordinates, are Na at (0.000, 0.000, 0.000), Ce at (0.000, 0.000, 0.500), In at (0.250, 0.250, 0.250) and Ag at (0.250, 0.250, 0.750).

The value obtained for the total energy is -3.301 eV/atom. Its density of states at the Fermi level is 8.7 states/eV/f.u. For the total magnetic moment, the calculation gives 0.221 μB/atom.



Entry from the Alexandria database: crystalline CeInNiAg at its relaxed geometry (PBE).

It has space group F-43m (No. 216), with a = 6.886 Å, b = 6.886 Å, c = 6.886 Å, α = 90.00°, β = 90.00° and γ = 90.00°. The distinct sites, in fractional coordinates, are Ce at (0.000, 0.000, 0.000), In at (0.000, 0.000, 0.500), Ni at (0.250, 0.250, 0.750) and Ag at (0.250, 0.250, 0.250).

The value obtained for the total energy is -4.542 eV/atom. Its density of states at the Fermi level is 6.2 states/eV/f.u. For the total magnetic moment, the calculation gives 0.088 μB/atom.